# 1
DFT (PBE) results for a relaxed Rb3Y3HfSe8 crystal.

Summary:
- total energy (eV for the cell shown) = -85.25
- spin magnetization (μB/atom) = 0.000
- E_form (uncorrected) (meV/atom) = -1675

abc: 8.2608 8.2603 9.4572
angles: 115.92 90.00 120.00
With the nearest neighbours (Å) after each atom.
Atoms (fractional coordinates):
Hf1 0.0000 0.0000 0.5000  6 Se 2.73
Se1 0.7321 0.4641 0.6960  3 Y 2.87
Y1 0.5000 0.0000 0.5000  6 Se 2.87-2.89
Y2 0.5000 0.5000 0.5000  6 Se 2.87-2.89
Se2 0.7473 0.9678 0.6880  1 Hf 2.73, 2 Y 2.89
Se3 0.2205 0.9678 0.6880  1 Hf 2.73, 2 Y 2.89
Se4 0.2679 0.5359 0.3040  3 Y 2.87
Se5 0.7795 0.0322 0.3120  1 Hf 2.73, 2 Y 2.89
Rb1 0.0000 0.0000 0.0000  6 Se 3.44-3.45
Se6 0.2527 0.0322 0.3120  1 Hf 2.73, 2 Y 2.89
Rb2 0.0000 0.5000 0.0000  6 Se 3.44-3.45
Y3 0.0000 0.5000 0.5000  6 Se 2.87-2.89
Se7 0.7795 0.5590 0.3120  1 Hf 2.73, 2 Y 2.89
Se8 0.2205 0.4410 0.6880  1 Hf 2.73, 2 Y 2.89
Rb3 0.5000 0.5000 0.0000  6 Se 3.44-3.45



# 2
DFT (PBE) results for a relaxed Cu2MoPt crystal.

Summary:
- total energy (eV for the cell shown) = -24.51
- spin magnetization (μB/atom) = 0.000
- density of states at the Fermi level (states/eV/atom) = 0.8417
- energy above the lowest structure with this stoichiometry (kcal/mol of atoms) = 4.54
- E_form (meV/atom) = 138

abc: 2.6941 4.6662 4.5945
angles: 90.00 90.00 90.00
With the nearest neighbours (Å) after each atom.
Atoms (fractional coordinates):
Cu1 0.0000 0.0000 0.0000  4 Mo 2.66, 6 Cu 2.69
Mo1 0.5000 0.0000 0.5000  4 Cu 2.66, 4 Pt 2.69, 2 Mo 2.69
Pt1 0.0000 0.5000 0.5000  4 Cu 2.66, 4 Mo 2.69, 2 Pt 2.69
Cu2 0.5000 0.5000 0.0000  4 Pt 2.66, 6 Cu 2.69



# 3
DFT (PBE) results for a relaxed BeReC3 crystal.

Summary:
- total energy (eV for the cell shown) = -31.92
- spin magnetization (μB/atom) = 0.000
- density of states at the Fermi level (states/eV/atom) = 0.4913
- energy above the lowest structure with this stoichiometry (kcal/mol of atoms) = 6.49
- E_form (meV/atom) = 2385

abc: 3.4961 3.4961 3.4961
angles: 90.00 90.00 90.00
With the nearest neighbours (Å) after each atom.
Atoms (fractional coordinates):
Re1 0.5000 0.5000 0.5000  12 C 2.47
C1 0.0000 0.0000 0.5000  2 Be 1.75
C2 0.5000 0.0000 0.0000  2 Be 1.75
Be1 0.0000 0.0000 0.0000  6 C 1.75
C3 0.0000 0.5000 0.0000  2 Be 1.75



# 4
DFT (PBE) results for a relaxed Ba2TeIr crystal.

Summary:
- total energy (eV for the cell shown) = -17.65
- spin magnetization (μB/atom) = 0.256
- density of states at the Fermi level (states/eV/atom) = 2.3588
- E_form (uncorrected) (meV/atom) = -450

abc: 8.4665 8.4665 8.4665
angles: 32.57 32.57 32.57
With the nearest neighbours (Å) after each atom.
Atoms (fractional coordinates):
Ir1 0.2500 0.2500 0.2500  6 Ba 3.30
Te1 0.7500 0.7500 0.7500  6 Ba 3.49
Ba1 0.9933 0.9933 0.9933  3 Ir 3.30, 3 Te 3.49
Ba2 0.5067 0.5067 0.5067  3 Ir 3.30, 3 Te 3.49



# 5
DFT (PBE) results for a relaxed CaSm3Hg12 crystal.

Summary:
- total energy (eV for the cell shown) = -25.36
- spin magnetization (μB/atom) = 0.000
- density of states at the Fermi level (states/eV/atom) = 0.7401
- E_form (meV/atom) = -349

abc: 4.6630 4.6630 18.7257
angles: 90.00 90.00 90.00
With the nearest neighbours (Å) after each atom.
Atoms (fractional coordinates):
Sm1 0.0000 0.0000 0.7520  12 Hg 3.26-3.33
Hg1 0.5000 0.0000 0.3754  8 Hg 3.28-3.30, 4 Sm 3.30-3.33
Hg2 0.0000 0.5000 0.1264  2 Sm 3.26, 8 Hg 3.30-3.32, 2 Ca 3.32
Hg3 0.5000 0.0000 0.6246  8 Hg 3.28-3.30, 4 Sm 3.30-3.33
Sm2 0.0000 0.0000 0.2480  12 Hg 3.26-3.33
Ca1 0.0000 0.0000 0.0000  12 Hg 3.30-3.32
Hg4 0.5000 0.5000 0.7480  8 Hg 3.28-3.31, 4 Sm 3.30
Hg5 0.0000 0.5000 0.6246  8 Hg 3.28-3.30, 4 Sm 3.30-3.33
Hg6 0.5000 0.0000 0.8736  2 Sm 3.26, 8 Hg 3.30-3.32, 2 Ca 3.32
Hg7 0.5000 0.5000 0.5000  4 Sm 3.30, 8 Hg 3.30
Sm3 0.0000 0.0000 0.5000  12 Hg 3.30
Hg8 0.5000 0.5000 0.2520  8 Hg 3.28-3.31, 4 Sm 3.30
Hg9 0.5000 0.0000 0.1264  2 Sm 3.26, 8 Hg 3.30-3.32, 2 Ca 3.32
Hg10 0.0000 0.5000 0.3754  8 Hg 3.28-3.30, 4 Sm 3.30-3.33
Hg11 0.5000 0.5000 0.0000  4 Ca 3.30, 8 Hg 3.32
Hg12 0.0000 0.5000 0.8736  2 Sm 3.26, 8 Hg 3.30-3.32, 2 Ca 3.32



# 6
DFT (PBE) results for a relaxed SrCe5Se6 crystal.

Summary:
- total energy (eV for the cell shown) = -74.10
- spin magnetization (μB/atom) = 0.456
- density of states at the Fermi level (states/eV/atom) = 2.5969
- E_form (uncorrected) (meV/atom) = -1820

abc: 7.3507 7.3440 7.3494
angles: 60.02 80.41 70.52
With the nearest neighbours (Å) after each atom.
Atoms (fractional coordinates):
Se1 0.7470 0.4218 0.6626  5 Ce 2.98-3.00, 1 Sr 3.04
Ce1 0.0000 0.3333 0.3334  6 Se 2.99-3.00
Se2 0.7470 0.0844 0.3374  5 Ce 2.98-3.00, 1 Sr 3.04
Se3 0.2530 0.5782 0.3374  5 Ce 2.98-3.00, 1 Sr 3.04
Ce2 0.5000 0.1653 0.6694  6 Se 2.98-3.00
Ce3 0.5000 0.8347 0.3306  6 Se 2.98-3.00
Ce4 0.5000 0.5000 0.0000  6 Se 2.97-3.00
Se4 0.2515 0.2535 0.0000  5 Ce 2.97-2.99, 1 Sr 3.03
Se5 0.7485 0.7465 0.0000  5 Ce 2.97-2.99, 1 Sr 3.03
Se6 0.2530 0.9156 0.6626  5 Ce 2.98-3.00, 1 Sr 3.04
Ce5 0.0000 0.6667 0.6666  6 Se 2.99-3.00
Sr1 0.0000 0.0000 0.0000  6 Se 3.03-3.04



# 7
DFT (PBE) results for a relaxed CdPd5Pb crystal.

Summary:
- total energy (eV for the cell shown) = -30.98
- spin magnetization (μB/atom) = 0.000
- density of states at the Fermi level (states/eV/atom) = 0.6090
- energy above the lowest structure with this stoichiometry (kcal/mol of atoms) = 3.63
- E_form (meV/atom) = -56

abc: 9.5093 5.2062 6.0490
angles: 115.49 141.81 90.00
With the nearest neighbours (Å) after each atom.
Atoms (fractional coordinates):
Pd1 0.8364 0.5000 0.0000  1 Pb 2.61, 2 Pd 2.68, 2 Cd 2.69
Pd2 0.0820 0.2490 0.0000  5 Pd 2.59-2.88, 1 Cd 2.84
Pb1 0.5618 0.5000 0.0000  3 Pd 2.61-2.76
Pd3 0.5649 0.7547 0.5094  6 Pd 2.63-2.93, 1 Pb 2.76
Cd1 0.3482 0.0000 0.0000  8 Pd 2.69-2.96
Pd4 0.0555 0.2453 0.4906  6 Pd 2.63-2.93, 1 Pb 2.76
Pd5 0.0820 0.7510 0.0000  5 Pd 2.59-2.88, 1 Cd 2.84



# 8
DFT (PBE) results for a relaxed RbSmHgSe3 crystal.

Summary:
- total energy (eV for the cell shown) = -47.28
- spin magnetization (μB/atom) = 0.000
- E_form (uncorrected) (meV/atom) = -1199

abc: 4.3480 9.1971 10.4753
angles: 108.11 90.00 90.00
With the nearest neighbours (Å) after each atom.
Atoms (fractional coordinates):
Se1 0.2500 0.5350 0.8498  3 Sm 2.87-2.93
Se2 0.7500 0.4650 0.1502  3 Sm 2.87-2.93
Sm1 0.7500 0.3263 0.8637  6 Se 2.87-3.17
Rb1 0.2500 0.2206 0.2461  7 Se 3.49-3.80
Hg1 0.7500 0.9089 0.3841  4 Se 2.63-2.91
Se3 0.2500 0.7704 0.4541  3 Hg 2.73-2.91
Se4 0.2500 0.1048 0.8708  1 Hg 2.63
Se5 0.7500 0.2296 0.5459  3 Hg 2.73-2.91
Se6 0.7500 0.8952 0.1292  1 Hg 2.63
Sm2 0.2500 0.6737 0.1363  6 Se 2.87-3.17
Hg2 0.2500 0.0911 0.6159  4 Se 2.63-2.91
Rb2 0.7500 0.7794 0.7539  7 Se 3.49-3.80



# 9
DFT (PBE) results for a relaxed Pm5Se5S2 crystal.

Summary:
- total energy (eV for the cell shown) = -72.75
- spin magnetization (μB/atom) = 0.000
- density of states at the Fermi level (states/eV/atom) = 0.1281
- E_form (uncorrected) (meV/atom) = -1943

abc: 4.0650 7.1323 12.2084
angles: 104.96 90.00 106.56
With the nearest neighbours (Å) after each atom.
Atoms (fractional coordinates):
Se1 0.5000 0.0000 0.5000  4 Pm 2.89
Pm1 0.8902 0.7805 0.5864  1 S 2.76, 5 Se 2.89-3.03
Se2 0.3381 0.6763 0.9481  5 Pm 2.95-3.12
Pm2 0.1098 0.2195 0.4136  1 S 2.76, 5 Se 2.89-3.03
S1 0.9583 0.9165 0.2115  4 Pm 2.76-2.84
Pm3 0.3098 0.6196 0.1930  2 S 2.84, 5 Se 3.05-3.12
Pm4 0.6902 0.3804 0.8070  2 S 2.84, 5 Se 3.05-3.12
Pm5 0.0000 0.0000 0.0000  2 S 2.79, 4 Se 2.95
Se3 0.2567 0.5134 0.6489  5 Pm 2.97-3.10
Se4 0.6619 0.3237 0.0519  5 Pm 2.95-3.12
S2 0.0417 0.0835 0.7885  4 Pm 2.76-2.84
Se5 0.7433 0.4866 0.3511  5 Pm 2.97-3.10



# 10
DFT (PBE) results for a relaxed Tb2TiSi3Pt4 crystal.

Summary:
- total energy (eV for the cell shown) = -68.47
- spin magnetization (μB/atom) = 0.000
- density of states at the Fermi level (states/eV/atom) = 0.8977
- E_form (uncorrected) (meV/atom) = -1088

abc: 4.1510 4.1510 10.3910
angles: 90.00 90.00 90.00
With the nearest neighbours (Å) after each atom.
Atoms (fractional coordinates):
Ti1 0.5000 0.5000 0.5000  4 Pt 2.53
Tb1 0.0000 0.5000 0.7580  6 Si 3.14-3.39, 8 Pt 3.18-3.26, 2 Ti 3.39
Pt1 0.5000 0.0000 0.6395  3 Si 2.36-2.53, 2 Ti 2.53
Pt2 0.5000 0.5000 0.0000  4 Si 2.50
Si1 0.5000 0.0000 0.8665  5 Pt 2.36-2.50
Pt3 0.0000 0.5000 0.3605  3 Si 2.36-2.53, 2 Ti 2.53
Tb2 0.5000 0.0000 0.2420  6 Si 3.14-3.39, 8 Pt 3.18-3.26, 2 Ti 3.39
Si2 0.0000 0.5000 0.1335  5 Pt 2.36-2.50
Pt4 0.0000 0.0000 0.0000  4 Si 2.50
Si3 0.0000 0.0000 0.5000  4 Pt 2.53



# 11
DFT (PBE) results for a relaxed AcZn4Ge3 crystal.

Summary:
- total energy (eV for the cell shown) = -25.08
- spin magnetization (μB/atom) = 0.000
- density of states at the Fermi level (states/eV/atom) = 0.1710
- E_form (meV/atom) = -252

abc: 4.5830 4.5830 7.6933
angles: 90.00 90.00 90.00
With the nearest neighbours (Å) after each atom.
Atoms (fractional coordinates):
Zn1 0.0000 0.5000 0.1722  4 Ge 2.62-2.65, 1 Zn 2.65
Zn2 0.0000 0.5000 0.8278  4 Ge 2.62-2.65, 1 Zn 2.65
Zn3 0.5000 0.0000 0.8278  4 Ge 2.62-2.65, 1 Zn 2.65
Ge1 0.0000 0.0000 0.0000  8 Zn 2.65
Ge2 0.5000 0.5000 0.3364  1 Ge 2.52, 4 Zn 2.62
Ge3 0.5000 0.5000 0.6636  1 Ge 2.52, 4 Zn 2.62
Zn4 0.5000 0.0000 0.1722  4 Ge 2.62-2.65, 1 Zn 2.65
Ac1 0.0000 0.0000 0.5000  8 Zn 3.41, 8 Ge 3.48



Please write out number 1 again, unchanged.
DFT (PBE) results for a relaxed Rb3Y3HfSe8 crystal.

Summary:
- total energy (eV for the cell shown) = -85.25
- spin magnetization (μB/atom) = 0.000
- E_form (uncorrected) (meV/atom) = -1675

abc: 8.2608 8.2603 9.4572
angles: 115.92 90.00 120.00
With the nearest neighbours (Å) after each atom.
Atoms (fractional coordinates):
Hf1 0.0000 0.0000 0.5000  6 Se 2.73
Se1 0.7321 0.4641 0.6960  3 Y 2.87
Y1 0.5000 0.0000 0.5000  6 Se 2.87-2.89
Y2 0.5000 0.5000 0.5000  6 Se 2.87-2.89
Se2 0.7473 0.9678 0.6880  1 Hf 2.73, 2 Y 2.89
Se3 0.2205 0.9678 0.6880  1 Hf 2.73, 2 Y 2.89
Se4 0.2679 0.5359 0.3040  3 Y 2.87
Se5 0.7795 0.0322 0.3120  1 Hf 2.73, 2 Y 2.89
Rb1 0.0000 0.0000 0.0000  6 Se 3.44-3.45
Se6 0.2527 0.0322 0.3120  1 Hf 2.73, 2 Y 2.89
Rb2 0.0000 0.5000 0.0000  6 Se 3.44-3.45
Y3 0.0000 0.5000 0.5000  6 Se 2.87-2.89
Se7 0.7795 0.5590 0.3120  1 Hf 2.73, 2 Y 2.89
Se8 0.2205 0.4410 0.6880  1 Hf 2.73, 2 Y 2.89
Rb3 0.5000 0.5000 0.0000  6 Se 3.44-3.45